Entry from Alexandria: crystalline SrLa2Si at its relaxed geometry (PBE).

Results
As for the energy relative to the elements, uncorrected: -0.112 eV per atom. The density comes out at 5410 kg/m3.

abc: 4.9608 4.9608 4.9084
angles: 90.00 90.00 90.00
Closest atoms and distances in Å follow each position.
Space group P4/mmm (No. 123)
Asymmetric unit:
Sr1 0.0000 0.0000 0.0000 (multiplicity 1)  8 La 3.49, 4 Si 3.51
La1 0.0000 0.5000 0.5000 (multiplicity 2)  4 Si 3.49, 4 Sr 3.49, 4 La 3.51
Si1 0.5000 0.5000 0.0000 (multiplicity 1)  8 La 3.49, 4 Sr 3.51



Entry from Alexandria: crystalline KMgNF2 at its relaxed geometry (PBE).

Results
As for the energy relative to the elements, uncorrected: -1.672 eV per atom. The value obtained for the polymorph energy (0 for the lowest one) is 0 meV/atom. The density comes out at 2610 kg/m3.

abc: 4.1209 4.1209 4.3240
angles: 90.00 90.00 90.00
Closest atoms and distances in Å follow each position.
Space group P4/mmm (No. 123)
Asymmetric unit:
K1 0.0000 0.0000 0.0000 (multiplicity 1)  4 N 2.91, 8 F 2.99
Mg1 0.5000 0.5000 0.5000 (multiplicity 1)  4 F 2.06, 2 N 2.16
N1 0.5000 0.5000 0.0000 (multiplicity 1)  2 Mg 2.16
F1 0.0000 0.5000 0.5000 (multiplicity 2)  2 Mg 2.06



Entry from Alexandria: crystalline LiOsN2F at its relaxed geometry (PBE).

Results
As for the energy relative to the elements, uncorrected: -0.203 eV per atom. The value obtained for the polymorph energy (0 for the lowest one) is 0 meV/atom. The density comes out at 6390 kg/m3.

abc: 3.7939 3.7939 4.4082
angles: 90.00 90.00 90.00
Closest atoms and distances in Å follow each position.
Space group P4/mmm (No. 123)
Asymmetric unit:
Li1 0.0000 0.0000 0.0000 (multiplicity 1)  4 F 2.68, 8 N 2.91
Os1 0.5000 0.5000 0.5000 (multiplicity 1)  4 N 1.90
N1 0.0000 0.5000 0.5000 (multiplicity 2)  2 Os 1.90
F1 0.5000 0.5000 0.0000 (multiplicity 1)  2 Os 2.20